# NaAuBr3 | the Alexandria database | PBE | relaxed
# SG: No. 221
# Crystal system: cubic
# Total magnetic moment in μB/atom: 0.00
# Energy above the lowest structure with this stoichiometry in eV/atom: 0.121
# Raw formation energy in eV/atom: -0.576
# Volume in Å³ per cell: 155
data_NaAuBr3
_symmetry_space_group_name_H-M 'P 1'
_symmetry_Int_Tables_number 1
_cell_length_a 5.373
_cell_length_b 5.373
_cell_length_c 5.373
_cell_angle_alpha 90.00
_cell_angle_beta 90.00
_cell_angle_gamma 90.00
loop_
_symmetry_equiv_pos_as_xyz
'x,y,z'
loop_
_atom_site_label
_atom_site_type_symbol
_atom_site_fract_x
_atom_site_fract_y
_atom_site_fract_z
Na1 Na 0.500 0.500 0.500
Au1 Au 0.000 0.000 0.000
Br1 Br 0.000 0.500 0.000
Br2 Br 0.000 0.000 0.500
Br3 Br 0.500 0.000 0.000